Record 1
# CaTiSbTe2

Crystalline CaTiSbTe2 at its relaxed geometry (PBE, Alexandria via LeMat-Bulk).

abc: 5.4030 5.4030 5.3246
angles: 90.00 90.00 90.00
Positions (direct):
Ti: 0.0000 0.0000 0.0000
Te: 0.5000 0.0000 0.0000
Te: 0.0000 0.5000 0.0000
Ca: 0.5000 0.5000 0.5000
Sb: 0.0000 0.0000 0.5000

Properties
offset from the most stable computed form: 0.000 kcal/mol of atoms
formation energy without anion corrections: -0.479 eV/atom
total DFT energy (no corrections): -4.54 eV/atom
DOS at the Fermi energy: 0.26 states/eV/atom

Record 2
# HfNbRe2Pd

Crystalline HfNbRe2Pd at its relaxed geometry (PBE, Alexandria via LeMat-Bulk).

abc: 4.6759 5.0011 4.6759
angles: 90.00 90.00 90.00
Positions (direct):
Pd: 0.5000 0.5000 0.5000
Re: 0.5000 0.0000 0.0000
Re: 0.0000 0.0000 0.5000
Nb: 0.0000 0.0000 0.0000
Hf: 0.0000 0.5000 0.0000

Properties
formation enthalpy at 0 K: 172.5 kJ/mol of atoms
total DFT energy (no corrections): -8.24 eV/atom
DOS at the Fermi energy: 1.01 states/eV/atom

Record 3
# CdSi2P

Crystalline CdSi2P at its relaxed geometry (PBE, Alexandria via LeMat-Bulk).

abc: 4.9693 5.8873 2.7996
angles: 73.93 95.31 116.36
Positions (direct):
Si: 0.0000 0.0000 0.0000
Si: 0.5000 0.0000 0.5000
Cd: 0.0000 0.5000 0.5000
P: 0.5000 0.5000 0.0000

Properties
offset from the most stable computed form: 11.865 kcal/mol of atoms
formation energy without anion corrections: 0.567 eV/atom
total DFT energy (no corrections): -3.73 eV/atom
DOS at the Fermi energy: 0.34 states/eV/atom

Record 4
# Pr2Zn5Au5

Crystalline Pr2Zn5Au5 at its relaxed geometry (PBE, Alexandria via LeMat-Bulk).

abc: 4.5172 5.4014 9.6828
angles: 90.00 90.00 90.00
Positions (direct):
Zn: 0.5000 0.2511 0.7488
Zn: 0.5000 0.5000 0.5000
Zn: 0.5000 0.2511 0.2512
Zn: 0.5000 0.7489 0.2512
Zn: 0.5000 0.7489 0.7488
Au: 0.0000 0.0000 0.1805
Au: 0.5000 0.0000 0.0000
Au: 0.0000 0.0000 0.8195
Au: 0.0000 0.5000 0.6662
Au: 0.0000 0.5000 0.3338
Pr: 0.0000 0.0000 0.5000
Pr: 0.0000 0.5000 0.0000

Properties
formation enthalpy at 0 K: -47.9 kJ/mol of atoms
total DFT energy (no corrections): -3.19 eV/atom
DOS at the Fermi energy: 0.53 states/eV/atom

Record 5
# BeTc2Mo

Crystalline BeTc2Mo at its relaxed geometry (PBE, Alexandria via LeMat-Bulk).

abc: 3.2292 4.1665 4.0784
angles: 90.00 90.00 90.00
Positions (direct):
Mo: 0.0000 0.5000 0.5000
Be: 0.5000 0.0000 0.5000
Tc: 0.0000 0.0000 0.0000
Tc: 0.5000 0.5000 0.0000

Properties
formation enthalpy at 0 K: 16.3 kJ/mol of atoms
total DFT energy (no corrections): -8.65 eV/atom
DOS at the Fermi energy: 1.10 states/eV/atom

Record 6
# NpCoTcP2

Crystalline NpCoTcP2 at its relaxed geometry (PBE, Alexandria via LeMat-Bulk).

abc: 3.9010 3.9010 5.6914
angles: 110.04 110.04 90.00
Positions (direct):
P: 0.3743 0.3743 0.7486
P: 0.6257 0.6257 0.2514
Tc: 0.7500 0.2500 0.5000
Co: 0.2500 0.7500 0.5000
Np: 0.0000 0.0000 0.0000

Properties
formation enthalpy at 0 K: -64.2 kJ/mol of atoms
total DFT energy (no corrections): -8.91 eV/atom
DOS at the Fermi energy: 2.15 states/eV/atom

Record 7
# Cd2Hg2I

Crystalline Cd2Hg2I at its relaxed geometry (PBE, Alexandria via LeMat-Bulk).

abc: 8.3515 8.3515 4.1442
angles: 90.00 90.00 90.00
Positions (direct):
I: 0.5000 0.5000 0.0000
I: 0.0000 0.0000 0.0000
Hg: 0.1797 0.6797 0.5000
Hg: 0.3203 0.1797 0.5000
Hg: 0.6797 0.8203 0.5000
Hg: 0.8203 0.3203 0.5000
Cd: 0.6255 0.1255 0.0000
Cd: 0.3745 0.8745 0.0000
Cd: 0.1255 0.3745 0.0000
Cd: 0.8745 0.6255 0.0000

Properties
offset from the most stable computed form: 0.000 kcal/mol of atoms
formation energy without anion corrections: -0.048 eV/atom
total DFT energy (no corrections): -0.84 eV/atom
DOS at the Fermi energy: 0.32 states/eV/atom

Record 8
# BBr

Crystalline BBr at its relaxed geometry (PBE, Alexandria via LeMat-Bulk).

abc: 7.4275 5.4337 7.6888
angles: 90.00 113.31 90.00
Positions (direct):
B: 0.9638 0.5691 0.5676
B: 0.9128 0.8109 0.4238
B: 0.0362 0.0691 0.4324
B: 0.0872 0.3109 0.5762
Br: 0.8496 0.5989 0.7538
Br: 0.6593 0.7831 0.2141
Br: 0.3407 0.2831 0.7859
Br: 0.1504 0.0989 0.2462

Properties
offset from the most stable computed form: 7.050 kcal/mol of atoms
formation energy without anion corrections: -0.021 eV/atom
total DFT energy (no corrections): -4.20 eV/atom
DOS at the Fermi energy: 0.00 states/eV/atom

Record 9
# Mn2RhWC

Crystalline Mn2RhWC at its relaxed geometry (PBE, Alexandria via LeMat-Bulk).

abc: 3.8609 3.8609 4.1238
angles: 90.00 90.00 90.00
Positions (direct):
Mn: 0.0000 0.5000 0.0000
Mn: 0.5000 0.0000 0.0000
C: 0.0000 0.0000 0.0000
W: 0.0000 0.0000 0.5000
Rh: 0.5000 0.5000 0.5000

Properties
formation enthalpy at 0 K: 4.9 kJ/mol of atoms
total DFT energy (no corrections): -9.52 eV/atom
DOS at the Fermi energy: 0.92 states/eV/atom

Record 10
# Pr2YSn2Hg2

Crystalline Pr2YSn2Hg2 at its relaxed geometry (PBE, Alexandria via LeMat-Bulk).

abc: 5.0032 5.0032 9.7348
angles: 75.11 75.11 60.00
Positions (direct):
Y: 0.0000 0.0000 0.0000
Hg: 0.5760 0.5760 0.2720
Hg: 0.4240 0.4240 0.7280
Pr: 0.1294 0.1294 0.6117
Pr: 0.8706 0.8706 0.3883
Sn: 0.7252 0.7252 0.8246
Sn: 0.2748 0.2748 0.1754

Properties
formation enthalpy at 0 K: -32.6 kJ/mol of atoms
total DFT energy (no corrections): -3.86 eV/atom
DOS at the Fermi energy: 0.83 states/eV/atom

Record 11
# Cr2CoRe

Crystalline Cr2CoRe at its relaxed geometry (PBE, Alexandria via LeMat-Bulk).

abc: 2.5479 2.5479 7.8702
angles: 90.00 90.00 104.89
Positions (direct):
Re: 0.0000 0.0000 0.5076
Cr: 0.5000 0.5000 0.2376
Cr: 0.0000 0.0000 0.9916
Co: 0.5000 0.5000 0.7632

Properties
formation enthalpy at 0 K: 14.4 kJ/mol of atoms
total DFT energy (no corrections): -9.55 eV/atom
DOS at the Fermi energy: 1.09 states/eV/atom

Record 12
# ZrNbZn6

Crystalline ZrNbZn6 at its relaxed geometry (PBE, Alexandria via LeMat-Bulk).

abc: 4.0127 4.0127 7.9939
angles: 90.00 90.00 90.00
Positions (direct):
Zr: 0.0000 0.0000 0.0000
Zn: 0.0000 0.5000 0.2579
Zn: 0.0000 0.5000 0.7421
Zn: 0.5000 0.0000 0.7421
Zn: 0.5000 0.5000 0.0000
Zn: 0.5000 0.0000 0.2579
Zn: 0.5000 0.5000 0.5000
Nb: 0.0000 0.0000 0.5000

Properties
formation enthalpy at 0 K: -19.7 kJ/mol of atoms
total DFT energy (no corrections): -3.49 eV/atom
DOS at the Fermi energy: 0.64 states/eV/atom

Record 13
# Ac8GaSn6

Crystalline Ac8GaSn6 at its relaxed geometry (PBE, Alexandria via LeMat-Bulk).

abc: 10.0087 10.0087 8.9443
angles: 55.98 55.98 60.00
Positions (direct):
Ga: 0.0000 0.0000 0.0000
Ac: 0.1844 0.8962 0.2866
Ac: 0.1038 0.3672 0.7134
Ac: 0.3337 0.3337 0.9989
Ac: 0.6663 0.6663 0.0011
Ac: 0.6328 0.1844 0.2866
Ac: 0.3672 0.8156 0.7134
Ac: 0.8962 0.6328 0.2866
Ac: 0.8156 0.1038 0.7134
Sn: 0.0662 0.7064 0.7836
Sn: 0.2936 0.5562 0.2164
Sn: 0.4438 0.0662 0.7836
Sn: 0.9338 0.2936 0.2164
Sn: 0.7064 0.4438 0.7836
Sn: 0.5562 0.9338 0.2164

Properties
formation enthalpy at 0 K: -51.9 kJ/mol of atoms
total DFT energy (no corrections): -4.53 eV/atom
DOS at the Fermi energy: 0.56 states/eV/atom

Record 14
# BaPu2As2

Crystalline BaPu2As2 at its relaxed geometry (PBE, Alexandria via LeMat-Bulk).

abc: 4.4287 4.4287 8.1089
angles: 74.15 74.15 90.04
Positions (direct):
As: 0.3826 0.3826 0.2353
As: 0.6174 0.6174 0.7647
Pu: 0.7501 0.2499 0.5000
Pu: 0.2499 0.7501 0.5000
Ba: 0.0000 0.0000 0.0000

Properties
formation enthalpy at 0 K: -76.3 kJ/mol of atoms
total DFT energy (no corrections): -8.77 eV/atom
DOS at the Fermi energy: 1.68 states/eV/atom

Record 15
# SbRuSe

Crystalline SbRuSe at its relaxed geometry (PBE, Alexandria via LeMat-Bulk).

abc: 6.9632 6.9628 3.1120
angles: 77.09 77.08 25.83
Positions (direct):
Sb: 0.3677 0.3677 0.6323
Ru: 0.0152 0.0152 0.9848
Se: 0.6171 0.6171 0.3829

Properties
formation energy without anion corrections: 0.000 eV/atom
total DFT energy (no corrections): -5.63 eV/atom
DOS at the Fermi energy: 0.53 states/eV/atom

Record 16
# Pr6Sm2Y3Tl

Crystalline Pr6Sm2Y3Tl at its relaxed geometry (PBE, Alexandria via LeMat-Bulk).

abc: 6.2856 6.2856 11.9760
angles: 95.06 95.06 120.16
Positions (direct):
Y: 0.5000 0.5000 0.5000
Y: 0.1670 0.8330 0.5000
Y: 0.8330 0.1670 0.5000
Pr: 0.5901 0.9171 0.7508
Pr: 0.7564 0.7564 0.2502
Pr: 0.9171 0.5901 0.7508
Pr: 0.4099 0.0829 0.2492
Pr: 0.2436 0.2436 0.7498
Pr: 0.0829 0.4099 0.2492
Sm: 0.3337 0.6663 0.0000
Sm: 0.6663 0.3337 0.0000
Tl: 0.0000 0.0000 0.0000

Properties
formation enthalpy at 0 K: -2.0 kJ/mol of atoms
total DFT energy (no corrections): -5.01 eV/atom
DOS at the Fermi energy: 1.18 states/eV/atom

Record 17
# Li2ScAl2

Crystalline Li2ScAl2 at its relaxed geometry (PBE, Alexandria via LeMat-Bulk).

abc: 7.6991 7.6991 2.8709
angles: 90.00 90.00 90.00
Positions (direct):
Li: 0.8838 0.6162 0.0000
Li: 0.1162 0.3838 0.0000
Li: 0.6162 0.1162 0.0000
Li: 0.3838 0.8838 0.0000
Sc: 0.5000 0.5000 0.0000
Sc: 0.0000 0.0000 0.0000
Al: 0.8187 0.3187 0.5000
Al: 0.6813 0.8187 0.5000
Al: 0.1813 0.6813 0.5000
Al: 0.3187 0.1813 0.5000

Properties
offset from the most stable computed form: 0.000 kcal/mol of atoms
formation enthalpy at 0 K: -16.3 kJ/mol of atoms
total DFT energy (no corrections): -3.70 eV/atom
DOS at the Fermi energy: 0.54 states/eV/atom

Record 18
# Li3Nd2Pd3

Crystalline Li3Nd2Pd3 at its relaxed geometry (PBE, Alexandria via LeMat-Bulk).

abc: 7.4021 7.5843 7.5843
angles: 60.00 90.00 90.00
Positions (direct):
Pd: 0.2500 0.5933 0.0000
Pd: 0.2500 0.4067 0.5933
Pd: 0.7500 0.4067 0.0000
Pd: 0.2500 0.0000 0.4067
Pd: 0.7500 0.0000 0.5933
Pd: 0.7500 0.5933 0.4067
Li: 0.7500 0.7677 0.0000
Li: 0.2500 0.7677 0.2323
Li: 0.7500 0.0000 0.2323
Li: 0.7500 0.2323 0.7677
Li: 0.2500 0.2323 0.0000
Li: 0.2500 0.0000 0.7677
Nd: 0.5000 0.3333 0.3333
Nd: 0.5000 0.6667 0.6667
Nd: 0.0000 0.3333 0.3333
Nd: 0.0000 0.6667 0.6667

Properties
formation enthalpy at 0 K: -41.0 kJ/mol of atoms
total DFT energy (no corrections): -4.28 eV/atom
DOS at the Fermi energy: 0.65 states/eV/atom

Record 19
# Pm3TiIn3Se8

Crystalline Pm3TiIn3Se8 at its relaxed geometry (PBE, Alexandria via LeMat-Bulk).

abc: 8.2502 8.2485 9.0149
angles: 117.22 90.00 120.01
Positions (direct):
Pm: 0.0000 0.5000 0.5000
Pm: 0.5000 0.0000 0.5000
Pm: 0.5000 0.5000 0.5000
In: 0.0000 0.0000 0.0000
In: 0.5000 0.5000 0.0000
In: 0.0000 0.5000 0.0000
Se: 0.2321 0.0144 0.2967
Se: 0.2177 0.4354 0.7034
Se: 0.2177 0.9856 0.7033
Se: 0.7402 0.4803 0.7205
Se: 0.2598 0.5197 0.2795
Se: 0.7823 0.0144 0.2967
Se: 0.7679 0.9856 0.7033
Se: 0.7823 0.5646 0.2966
Ti: 0.0000 0.0000 0.5000

Properties
formation energy without anion corrections: -1.231 eV/atom
total DFT energy (no corrections): -5.11 eV/atom
DOS at the Fermi energy: 0.05 states/eV/atom

Record 20
# Er5Sn2Ir

Crystalline Er5Sn2Ir at its relaxed geometry (PBE, Alexandria via LeMat-Bulk).

abc: 5.5781 8.2035 13.7373
angles: 90.00 90.00 109.88
Positions (direct):
Er: 0.0515 0.1030 0.1179
Er: 0.9485 0.8970 0.8821
Er: 0.7157 0.4314 0.9055
Er: 0.2843 0.5686 0.4055
Er: 0.9485 0.8970 0.6179
Er: 0.2843 0.5686 0.0945
Er: 0.0515 0.1030 0.3821
Er: 0.7157 0.4314 0.5945
Er: 0.7140 0.4280 0.2500
Er: 0.2860 0.5720 0.7500
Sn: 0.8569 0.7138 0.0777
Sn: 0.1431 0.2862 0.9223
Sn: 0.8569 0.7138 0.4223
Sn: 0.1431 0.2862 0.5777
Ir: 0.8223 0.6447 0.7500
Ir: 0.1777 0.3553 0.2500

Properties
formation enthalpy at 0 K: -24.9 kJ/mol of atoms
total DFT energy (no corrections): -5.22 eV/atom
DOS at the Fermi energy: 0.95 states/eV/atom

no.,theoretical density (Mg/m³)
1,4.967
2,11.393
3,4.702
4,11.201
5,9.107
6,9.992
7,8.651
8,2.114
9,11.038
10,8.317
11,11.741
12,7.439
13,7.284
14,8.775
15,7.833
16,6.669
17,2.201
18,5.661
19,5.371
20,7.112